1.
Here is a geometry-optimized CsZnS2 structure from Alexandria via LeMat-Bulk. Energies are from PBE.

Values from the calculation:
Its symmetry is R-3m (166).

Unit cell a=8.1240 b=8.1240 c=8.1240 alpha=40.02 beta=40.02 gamma=40.02
Each line ends with the local moment (μB).
Element x y z (fractional)
1 Cs 0.5000 0.5000 0.5000  0.02
2 Zn 0.0000 0.0000 0.0000  0.02
3 S 0.9056 0.9056 0.9056  0.28
4 S 0.0944 0.0944 0.0944  0.28

---

2.
Here is a geometry-optimized Cs2ZrZnS4 structure from Alexandria via LeMat-Bulk. Energies are from PBE.

Values from the calculation:
Its symmetry is Fddd (70).

Unit cell a=5.9403 b=7.8599 c=13.1957 alpha=85.12 beta=76.99 gamma=67.80
Element x y z (fractional)
1 Cs 0.1770 0.0000 0.6459
2 Cs 0.8230 0.0000 0.3541
3 Cs 0.5730 0.5000 0.8541
4 Cs 0.9270 0.5000 0.1459
5 Zr 0.7500 0.5000 0.5000
6 Zr 0.0000 0.0000 0.0000
7 Zn 0.2500 0.5000 0.5000
8 Zn 0.5000 0.0000 0.0000
9 S 0.2957 0.8133 0.1022
10 S 0.2112 0.1867 0.8978
11 S 0.8910 0.8133 0.8978
12 S 0.6021 0.1867 0.1022
13 S 0.4543 0.6867 0.3978
14 S 0.5388 0.3133 0.6022
15 S 0.8590 0.6867 0.6022
16 S 0.1479 0.3133 0.3978

---

3.
Here is a geometry-optimized CsZrS2 structure from Alexandria via LeMat-Bulk. Energies are from PBE.

Values from the calculation:
Its symmetry is Fm-3m (225).

Unit cell a=5.0661 b=5.0661 c=5.0661 alpha=60.00 beta=60.00 gamma=60.00
Each line ends with the local moment (μB).
Element x y z (fractional)
1 Cs 0.5000 0.5000 0.5000  0.02
2 S 0.2500 0.2500 0.2500  -0.05
3 S 0.7500 0.7500 0.7500  -0.05
4 Zr 0.0000 0.0000 0.0000  0.73

---

no.,DFT total energy (Ry per atom)
1,-0.222
2,-0.353
3,-0.356